This record from the Alexandria database describes Ce3ZnAu2 after structural relaxation. The functional is PBE.

Output
relative energy among the computed polymorphs = 82 meV/atom
calculated formation energy = -0.37 eV/atom
total DFT energy (no corrections) = -4.64 eV per atom
DOS at the Fermi energy = 16.997 states/eV/f.u.

a b c (Å): 6.562 14.310 6.394
angles (deg): 90.00 90.00 90.00
Space group Ibam (No. 72)
Asymmetric unit:
Ce (0.000, 0.000, 0.250) [4 per cell]
Ce (0.237, 0.333, 0.000) [8 per cell]
Zn (0.000, 0.500, 0.250) [4 per cell]
Au (0.220, 0.374, 0.500) [8 per cell]